Computed, not measured: crystalline Pm2NdGe2Pd2 at its relaxed geometry at the PBE level of DFT.

* E: -5.627 eV/atom
* formation energy from the elements: -0.79 eV/atom
* space group: R-3m

The structure in POSCAR format:
```
Pm2NdGe2Pd2
1.0
-3.517 0.709 2.707
-3.965 -1.906 -0.921
-0.051 -7.977 5.753
Pm Nd Ge Pd
2 1 2 2
Cartesian
-0.965 -5.139 3.822
-6.567 -4.035 3.717
0.000 0.000 0.000
-5.577 -7.102 5.805
-1.955 -2.072 1.734
-4.512 -2.275 2.195
-3.021 -6.899 5.343
```

---

Computed, not measured: crystalline Pm2InSn2 at its relaxed geometry at the PBE level of DFT.

* polymorph energy (0 for the lowest one): 11 meV per atom
* E: -4.664 eV/atom
* formation energy from the elements: -0.62 eV/atom
* space group: Immm

The structure in POSCAR format:
```
Pm2InSn2
1.0
4.483 0.000 0.000
2.242 5.768 0.148
2.242 1.409 5.596
Pm In Sn
2 1 2
Cartesian
6.725 5.152 4.123
2.242 2.025 1.621
0.000 0.000 0.000
4.483 2.678 4.010
4.483 4.499 1.734
```

---

Computed, not measured: crystalline Ac3NdGe6 at its relaxed geometry at the PBE level of DFT.

* E: -5.100 eV/atom
* formation energy from the elements: -0.62 eV/atom
* space group: R-3c

The structure in POSCAR format:
```
Ac3NdGe6
1.0
8.194 -0.114 -1.104
-1.248 8.099 -1.104
-0.099 -0.114 8.267
Ac Nd Ge
6 2 12
Cartesian
0.547 6.017 1.573
2.277 1.376 5.648
1.113 5.425 5.707
5.734 2.446 0.352
4.569 6.495 0.410
6.299 1.854 4.485
0.000 0.000 0.000
3.423 3.936 3.029
6.586 4.783 6.456
-0.027 0.686 3.048
0.401 3.249 3.427
3.108 0.069 0.307
2.740 3.867 -0.019
3.061 7.024 3.337
3.786 0.848 2.722
4.107 4.004 6.077
3.738 7.802 5.751
6.445 4.622 2.632
6.873 7.185 3.010
0.261 3.088 -0.397
```

---

Computed, not measured: crystalline K2NpCdO4 at its relaxed geometry at the PBE level of DFT.

* E: -6.474 eV/atom
* formation energy (no corrections): -1988 meV per atom
* space group: P2/m

The structure in POSCAR format:
```
K2NpCdO4
1.0
3.501 0.000 0.000
0.000 10.225 -0.888
0.000 -4.617 5.055
K Np Cd O
2 1 1 4
Cartesian
1.750 -2.308 2.527
0.000 2.804 2.084
1.750 5.113 -0.444
0.000 0.000 0.000
1.750 3.274 0.064
1.750 2.335 4.103
0.000 0.104 3.320
0.000 5.504 0.847
```